# 1
The following is a GGA-PBE calculation of crystalline AcTmPO at its relaxed geometry, from OQMD via LeMat-Bulk.

calculated volume: 182 Å³ per cell
calculated total energy: -50.60 eV per cell

Unit cell a=4.629 b=4.629 c=8.515 alpha=90.00 beta=90.00 gamma=90.00
Space group P4/nmm (No. 129, origin choice 2)
One atom of each set of equivalent atoms:
1 Ac 0.250 0.750 0.000 [2 per cell]
2 Tm 0.250 0.250 0.449 [2 per cell]
3 P 0.250 0.250 0.780 [2 per cell]
4 O 0.250 0.750 0.500 [2 per cell]

***

# 2
The following is a GGA-PBE calculation of crystalline HoLuInTe3 at its relaxed geometry, from OQMD via LeMat-Bulk.

calculated volume: 779 Å³ per cell
calculated total energy: -106.75 eV per cell

Unit cell a=4.324 b=15.086 c=11.936 alpha=90.00 beta=90.00 gamma=90.00
Space group Cmcm (No. 63)
One atom of each set of equivalent atoms:
1 Ho 0.000 0.000 0.000 [4 per cell]
2 Lu 0.000 0.427 0.250 [4 per cell]
3 In 0.000 0.248 0.750 [4 per cell]
4 Te 0.000 0.062 0.250 [4 per cell]
5 Te 0.000 0.355 0.025 [8 per cell]

***

Repeat the first record exactly.
The following is a GGA-PBE calculation of crystalline AcTmPO at its relaxed geometry, from OQMD via LeMat-Bulk.

calculated volume: 182 Å³ per cell
calculated total energy: -50.60 eV per cell

Unit cell a=4.629 b=4.629 c=8.515 alpha=90.00 beta=90.00 gamma=90.00
Space group P4/nmm (No. 129, origin choice 2)
One atom of each set of equivalent atoms:
1 Ac 0.250 0.750 0.000 [2 per cell]
2 Tm 0.250 0.250 0.449 [2 per cell]
3 P 0.250 0.250 0.780 [2 per cell]
4 O 0.250 0.750 0.500 [2 per cell]